! ScReGe2 | the Alexandria database | GGA-PBE | optimized geometry; values from VASP
&SYSTEM
  ibrav = 0, nat = 8, ntyp = 3
/
ATOMIC_SPECIES
Sc 44.96 Sc.upf
Re 186.21 Re.upf
Ge 72.64 Ge.upf
CELL_PARAMETERS angstrom
-1.954 1.954 9.437
1.954 -1.954 9.437
1.954 1.954 -9.437
ATOMIC_POSITIONS angstrom
Sc 0.000 0.000 0.000
Sc 0.000 1.954 4.719
Re 1.954 0.000 4.719
Re 0.000 0.000 9.437
Ge 0.977 -0.957 7.078
Ge 0.997 0.977 2.359
Ge 0.977 2.911 -2.359
Ge 0.957 0.977 11.797
! formation enthalpy at 0 K: 199 meV/atom
! spin magnetization: 0.00 μB/cell
! SG: I-42d, No. 122